Arrangement w

NaTbGa2 | PBE | optimized geometry

Computed properties:
- volume (Å³ per atom) = 22.31
- size of the total moment (μB/f.u.) = 0.0

The structure in POSCAR format:
```
NaTbGa2
1.0
-1.4811 3.3801 -3.3969
-4.8190 1.3707 -0.2379
-1.3760 4.5943 1.4686
Na Tb Ga
1 1 2
Direct
0.5000 0.5000 0.5000
0.0000 0.0000 0.0000
0.7500 0.7500 0.7500
0.2500 0.2500 0.2500
```



Arrangement x

NaTbGa2 | PBE | optimized geometry

Computed properties:
- volume (Å³ per atom) = 22.58
- size of the total moment (μB/f.u.) = 0.0

The structure in POSCAR format:
```
NaTbGa2
1.0
3.6802 0.0000 0.0000
0.0000 4.9542 0.0000
0.0000 0.0000 4.9542
Ga Na Tb
2 1 1
Direct
0.0000 0.5000 0.0000
0.0000 0.0000 0.5000
0.5000 0.5000 0.5000
0.5000 0.0000 0.0000
```



Tell me which of them is the least stable. Sure, it is arrangement w.



Arrangement w

NaGaTc3 | PBE | optimized geometry

Computed properties:
- volume (Å³ per atom) = 18.45
- size of the total moment (μB/f.u.) = 5.2

The structure in POSCAR format:
```
NaGaTc3
1.0
4.5183 0.0000 0.0000
0.0000 4.5183 0.0000
0.0000 0.0000 4.5183
Tc Na Ga
3 1 1
Direct
0.5000 0.0000 0.0000
0.0000 0.5000 0.0000
0.0000 0.0000 0.5000
0.0000 0.0000 0.0000
0.5000 0.5000 0.5000
```



Arrangement x

NaGaTc3 | PBE | optimized geometry

Computed properties:
- volume (Å³ per atom) = 20.56
- size of the total moment (μB/f.u.) = 4.6

The structure in POSCAR format:
```
NaGaTc3
1.0
-4.3435 -0.0688 1.7533
-1.7247 -0.6939 -4.2999
0.3229 -4.6324 0.6180
Tc Na Ga
3 1 1
Direct
0.5000 0.0000 0.0000
0.0000 0.5000 0.0000
0.0000 0.0000 0.5000
0.5000 0.5000 0.5000
0.0000 0.0000 0.0000
```



Tell me which of them is the least stable. Sure, it is arrangement w.



Arrangement w

NaGa2Tc2 | PBE | optimized geometry

Computed properties:
- volume (Å³ per atom) = 17.02
- size of the total moment (μB/f.u.) = 0.0

The structure in POSCAR format:
```
NaGa2Tc2
1.0
7.8501 0.0000 0.0000
0.0000 7.8501 0.0000
0.0000 0.0000 2.7622
Tc Ga Na
4 4 2
Direct
0.3934 0.8934 0.0000
0.8934 0.6066 0.0000
0.1066 0.3934 0.0000
0.6066 0.1066 0.0000
0.8153 0.3153 0.5000
0.3153 0.1847 0.5000
0.1847 0.6847 0.5000
0.6847 0.8153 0.5000
0.0000 0.0000 0.0000
0.5000 0.5000 0.0000
```



Arrangement x

NaGa2Tc2 | PBE | optimized geometry

Computed properties:
- volume (Å³ per atom) = 15.92
- size of the total moment (μB/f.u.) = 0.0

The structure in POSCAR format:
```
NaGa2Tc2
1.0
6.9519 0.0000 0.0000
0.0000 6.9519 0.0000
0.0000 0.0000 3.2950
Ga Tc Na
4 4 2
Direct
0.8654 0.6346 0.0000
0.6346 0.1346 0.0000
0.1346 0.3654 0.0000
0.3654 0.8654 0.0000
0.6598 0.8402 0.5000
0.1598 0.6598 0.5000
0.3402 0.1598 0.5000
0.8402 0.3402 0.5000
0.5000 0.5000 0.0000
0.0000 0.0000 0.0000
```



Tell me which of them is the least stable. Sure, it is arrangement x.



Arrangement w

NaGaTc | PBE | optimized geometry

Computed properties:
- volume (Å³ per atom) = 19.32
- size of the total moment (μB/f.u.) = 0.0

The structure in POSCAR format:
```
NaGaTc
1.0
-1.5228 -2.5778 -0.6387
0.8019 0.2801 4.5544
-6.8565 5.6576 0.1762
Tc Ga Na
2 2 2
Direct
0.8881 0.7280 0.0460
0.1119 0.2720 0.9540
0.3079 0.7956 0.8035
0.6921 0.2044 0.1965
0.4572 0.2850 0.6202
0.5428 0.7150 0.3798
```



Arrangement x

NaGaTc | PBE | optimized geometry

Computed properties:
- volume (Å³ per atom) = 19.26
- size of the total moment (μB/f.u.) = 0.0

The structure in POSCAR format:
```
NaGaTc
1.0
3.0148 0.0000 0.0000
0.0000 3.0148 0.0000
0.0000 0.0000 12.7120
Tc Ga Na
2 2 2
Direct
0.5000 0.0000 0.4415
0.0000 0.5000 0.5585
0.5000 0.0000 0.6930
0.0000 0.5000 0.3070
0.0000 0.5000 0.8743
0.5000 0.0000 0.1257
```



Arrangement y

NaGaTc | PBE | optimized geometry

Computed properties:
- volume (Å³ per atom) = 20.71
- size of the total moment (μB/f.u.) = 0.0

The structure in POSCAR format:
```
NaGaTc
1.0
2.8743 0.0000 -0.0067
0.0000 4.0963 0.0000
-1.4230 0.0000 10.5567
Na Ga Tc
2 2 2
Direct
0.1791 0.2500 0.8637
0.8209 0.7500 0.1363
0.4173 0.2500 0.3345
0.5827 0.7500 0.6655
0.9672 0.7500 0.4346
0.0328 0.2500 0.5654
```



Tell me which of them is the least stable. Sure, it is arrangement w.



Arrangement w

Na2Ga2Te | PBE | optimized geometry

Computed properties:
- volume (Å³ per atom) = 26.58
- size of the total moment (μB/f.u.) = 0.0

The structure in POSCAR format:
```
Na2Ga2Te
1.0
-3.5517 2.0948 1.6917
1.0576 -1.4898 4.0653
2.4697 5.7676 3.9144
Te Ga Na
1 2 2
Direct
0.0000 0.0000 0.0000
0.4101 0.4101 0.1797
0.5899 0.5899 0.8203
0.7500 0.2500 0.5000
0.2500 0.7500 0.5000
```



Arrangement x

Na2Ga2Te | PBE | optimized geometry

Computed properties:
- volume (Å³ per atom) = 26.64
- size of the total moment (μB/f.u.) = 0.0

The structure in POSCAR format:
```
Na2Ga2Te
1.0
7.5541 0.0000 0.0000
0.0000 7.5541 0.0000
0.0000 0.0000 4.6681
Ga Te Na
4 2 4
Direct
0.3782 0.8782 0.0000
0.6218 0.1218 0.0000
0.1218 0.3782 0.0000
0.8782 0.6218 0.0000
0.5000 0.5000 0.0000
0.0000 0.0000 0.0000
0.6767 0.8233 0.5000
0.3233 0.1767 0.5000
0.8233 0.3233 0.5000
0.1767 0.6767 0.5000
```



Tell me which of them is the least stable. Sure, it is arrangement w.



Arrangement w

NaTiGa | PBE | optimized geometry

Computed properties:
- volume (Å³ per atom) = 23.53
- size of the total moment (μB/f.u.) = 0.0

The structure in POSCAR format:
```
NaTiGa
1.0
-2.4601 2.3555 -2.8920
-3.3825 -3.9232 -3.7817
-3.9515 0.1281 3.4665
Ti Na Ga
2 2 2
Direct
0.6878 0.5721 0.2378
0.1947 0.5583 0.4454
0.4768 0.9945 0.6392
0.9505 0.0468 0.1655
0.2523 0.4436 0.9732
0.7599 0.4284 0.7012
```



Arrangement x

NaTiGa | PBE | optimized geometry

Computed properties:
- volume (Å³ per atom) = 21.47
- size of the total moment (μB/f.u.) = 0.7

The structure in POSCAR format:
```
NaTiGa
1.0
7.8993 0.0000 0.0000
0.0000 4.0009 0.0000
0.0000 0.0000 8.1520
Na Ti Ga
4 4 4
Direct
0.9765 0.7500 0.1483
0.4765 0.7500 0.3517
0.5235 0.2500 0.6483
0.0235 0.2500 0.8517
0.3937 0.7500 0.9422
0.6063 0.2500 0.0578
0.1063 0.2500 0.4422
0.8937 0.7500 0.5578
0.2157 0.7500 0.6474
0.7843 0.2500 0.3526
0.2843 0.2500 0.1474
0.7157 0.7500 0.8526
```



Arrangement y

NaTiGa | PBE | optimized geometry

Computed properties:
- volume (Å³ per atom) = 19.26
- size of the total moment (μB/f.u.) = 0.0

The structure in POSCAR format:
```
NaTiGa
1.0
10.0618 0.0000 0.0164
3.6142 1.4412 -3.9788
-3.6142 1.4412 3.9788
Ga Ti Na
2 2 2
Direct
0.0000 0.0000 0.0000
0.5000 0.5000 0.5000
0.3592 0.2860 0.7140
0.6408 0.7140 0.2860
0.8219 0.8576 0.1424
0.1781 0.1424 0.8576
```



Tell me which of them is the least stable. Sure, it is arrangement w.